(1)
Sm8Co2Pd: optimized geometry, PBE.

```
Sm8Co2Pd
1.0
4.1280 -6.2065 0.0000
4.1280 6.2065 0.0000
-1.8912 0.0000 5.9806
Sm Co Pd
8 2 1
direct
0.0000 0.0000 0.0000
0.0143 0.2869 0.5838
0.1431 0.5759 0.1909
0.2869 0.0143 0.5838
0.4385 0.7069 0.8013
0.5759 0.1431 0.1909
0.7069 0.4385 0.8013
0.7311 0.7311 0.3918
0.0534 0.6759 0.7012
0.6759 0.0534 0.7012
0.3682 0.3682 0.3732
```

Output
DFT total energy ... -5.301 eV/atom
Density ... 7.733 g/cm³
Total magnetic moment ... 0.00 μB/f.u.
N(E_F) ... 1.02 states/eV per atom


(2)
SmCoSnPd: optimized geometry, PBE.

```
SmCoSnPd
1.0
0.0000 3.3714 3.3714
3.3714 0.0000 3.3714
3.3714 3.3714 0.0000
Sm Co Sn Pd
1 1 1 1
direct
0.0000 0.0000 0.0000
0.2500 0.2500 0.2500
0.5000 0.5000 0.5000
0.7500 0.7500 0.7500
```

Output
DFT total energy ... -5.693 eV/atom
Density ... 9.412 g/cm³
Total magnetic moment ... 1.46 μB/f.u.
N(E_F) ... 0.75 states/eV per atom